# 1
VASP calculation (GGA-PBE) on an optimized crystal structure of KLa2YS4.

Magnetization   0.0 μB/cell
Space group   P2/m (10)
Energy relative to the elements, uncorrected   -1.93 eV per atom
D(E_F)   3.03 states/eV/cell

Cell: 4.1212 7.1434 7.2700 Å, 70.97 90.00 90.00°
Closest atoms and distances in Å follow each position.
Element x y z (fractional)
K  0.5000  0.5000  0.0000  6 S 2.98-3.01
La  0.0000  0.0000  0.0000  6 S 3.01-3.02
La  0.5000  0.0000  0.5000  6 S 2.87-2.89
Y  0.0000  0.5000  0.5000  6 S 2.85-2.86
S  0.0000  0.7551  0.7311  1 Y 2.85, 3 La 2.87-3.02, 2 K 3.01
S  0.0000  0.2449  0.2689  1 Y 2.85, 3 La 2.87-3.02, 2 K 3.01
S  0.5000  0.7408  0.2660  2 Y 2.86, 3 La 2.89-3.01, 1 K 2.98
S  0.5000  0.2592  0.7340  2 Y 2.86, 3 La 2.89-3.01, 1 K 2.98

# 2
VASP calculation (GGA-PBE) on an optimized crystal structure of K2LaZrS4.

Magnetization   0.0 μB/cell
Space group   P2/m (10)
Energy relative to the elements, uncorrected   -1.66 eV per atom
D(E_F)   3.52 states/eV/cell

Cell: 3.9992 7.0286 7.7511 Å, 107.01 90.00 90.00°
Closest atoms and distances in Å follow each position.
Element x y z (fractional)
K  0.5000  0.0000  0.5000  6 S 3.28-3.30
K  0.0000  0.5000  0.5000  6 S 3.11-3.12
La  0.0000  0.0000  0.0000  6 S 2.87-2.88
Zr  0.5000  0.5000  0.0000  6 S 2.65-2.69
S  0.5000  0.2612  0.2090  1 Zr 2.65, 2 La 2.87
S  0.5000  0.7388  0.7910  1 Zr 2.65, 2 La 2.87
S  0.0000  0.2876  0.8010  2 Zr 2.69, 1 La 2.88
S  0.0000  0.7124  0.1990  2 Zr 2.69, 1 La 2.88

# 3
VASP calculation (GGA-PBE) on an optimized crystal structure of K3La3ZrS8.

Magnetization   0.0 μB/cell
Space group   R-3m (166)
Energy relative to the elements, uncorrected   -1.84 eV per atom
D(E_F)   0.00 states/eV/cell

Cell: 8.3483 8.3491 8.8893 Å, 118.02 90.00 120.00°
Closest atoms and distances in Å follow each position.
Element x y z (fractional)
K  0.0000  0.0000  0.0000  6 S 3.24-3.26
K  0.0000  0.5000  0.0000  6 S 3.24-3.26
K  0.5000  0.5000  0.0000  6 S 3.24-3.26
La  0.5000  0.0000  0.5000  6 S 2.87-2.91
La  0.5000  0.5000  0.5000  6 S 2.87-2.91
La  0.0000  0.5000  0.5000  6 S 2.87-2.91
Zr  0.0000  0.0000  0.5000  6 S 2.63
S  0.2635  0.5270  0.2906  3 La 2.87
S  0.7365  0.4730  0.7094  3 La 2.87
S  0.7837  0.5674  0.3070  1 Zr 2.63, 2 La 2.91
S  0.2163  0.4326  0.6930  1 Zr 2.63, 2 La 2.91
S  0.7837  0.0231  0.3069  1 Zr 2.63, 2 La 2.91
S  0.2163  0.9769  0.6931  1 Zr 2.63, 2 La 2.91
S  0.2395  0.0231  0.3070  1 Zr 2.63, 2 La 2.91
S  0.7605  0.9769  0.6930  1 Zr 2.63, 2 La 2.91

# 4
VASP calculation (GGA-PBE) on an optimized crystal structure of K4La3ZrS8.

Magnetization   0.5 μB/cell
Space group   R-3m (166)
Energy relative to the elements, uncorrected   -1.77 eV per atom
D(E_F)   5.51 states/eV/cell

Cell: 8.3284 8.8151 8.3281 Å, 118.20 120.00 90.00°
Closest atoms and distances in Å follow each position.
Element x y z (fractional)
K  0.5000  0.0000  0.0000  6 S 3.39
K  0.5000  0.0000  0.5000  6 S 3.20
K  0.0000  0.0000  0.0000  6 S 3.19-3.20
K  0.0000  0.0000  0.5000  6 S 3.20
La  0.5000  0.5000  0.0000  6 S 2.88-2.91
La  0.5000  0.5000  0.5000  6 S 2.88-2.91
La  0.0000  0.5000  0.5000  6 S 2.88-2.91
Zr  0.0000  0.5000  0.0000  6 S 2.69
S  0.2222  0.7026  0.9805  1 Zr 2.69, 2 La 2.91
S  0.2222  0.7026  0.4445  1 Zr 2.69, 2 La 2.91
S  0.2616  0.2851  0.5233  3 La 2.88, 3 K 3.19-3.20
S  0.7583  0.7026  0.9805  1 Zr 2.69, 2 La 2.91
S  0.2417  0.2974  0.0195  1 Zr 2.69, 2 La 2.91
S  0.7384  0.7149  0.4767  3 La 2.88, 3 K 3.19-3.20
S  0.7778  0.2974  0.5555  1 Zr 2.69, 2 La 2.91
S  0.7778  0.2974  0.0195  1 Zr 2.69, 2 La 2.91

# 5
VASP calculation (GGA-PBE) on an optimized crystal structure of K2LaSb2.

Relative energy among the computed polymorphs   0.091 eV/atom
Magnetization   0.0 μB/cell
Space group   P4/mbm (127)
Energy relative to the elements, uncorrected   -0.33 eV per atom
D(E_F)   5.15 states/eV/cell

Cell: 9.6321 9.6321 3.8787 Å, 90.00 90.00 90.00°
Closest atoms and distances in Å follow each position.
Element x y z (fractional)
Sb  0.3116  0.8116  0.0000  6 K 3.33-3.57, 2 La 3.51
Sb  0.8116  0.6884  0.0000  6 K 3.33-3.57, 2 La 3.51
Sb  0.6884  0.1884  0.0000  6 K 3.33-3.57, 2 La 3.51
Sb  0.1884  0.3116  0.0000  6 K 3.33-3.57, 2 La 3.51
K  0.1130  0.6130  0.5000  1 K 3.08, 2 Sb 3.33
K  0.6130  0.8870  0.5000  1 K 3.08, 2 Sb 3.33
K  0.8870  0.3870  0.5000  1 K 3.08, 2 Sb 3.33
K  0.3870  0.1130  0.5000  1 K 3.08, 2 Sb 3.33
La  0.0000  0.0000  0.0000  4 Sb 3.51, 2 La 3.88
La  0.5000  0.5000  0.0000  4 Sb 3.51, 2 La 3.88

# 6
VASP calculation (GGA-PBE) on an optimized crystal structure of KLaSb.

Magnetization   1.0 μB/cell
Space group   R-3m (166)
Energy relative to the elements, uncorrected   -0.59 eV per atom
D(E_F)   5.19 states/eV/cell

Cell: 5.2247 5.2247 13.2205 Å, 78.60 78.60 60.00°
Closest atoms and distances in Å follow each position.
Element x y z (fractional)
La  0.3018  0.3018  0.0946  4 Sb 3.18-3.44
La  0.6982  0.6982  0.9054  4 Sb 3.18-3.44
K  0.1124  0.1124  0.6629  3 Sb 3.68
K  0.8876  0.8876  0.3371  3 Sb 3.68
Sb  0.3909  0.3909  0.8273  4 La 3.18-3.44
Sb  0.6091  0.6091  0.1727  4 La 3.18-3.44

# 7
VASP calculation (GGA-PBE) on an optimized crystal structure of KLa2Sb.

Magnetization   0.0 μB/cell
Space group   P4/mmm (123)
Energy relative to the elements, uncorrected   -0.29 eV per atom
D(E_F)   4.11 states/eV/cell

Cell: 4.8831 5.2204 5.2204 Å, 90.00 90.00 90.00°
Closest atoms and distances in Å follow each position.
Element x y z (fractional)
K  0.5000  0.0000  0.5000  8 La 3.57, 4 Sb 3.69
La  0.0000  0.0000  0.0000  4 K 3.57, 4 Sb 3.57, 4 La 3.69
La  0.0000  0.5000  0.5000  4 K 3.57, 4 Sb 3.57, 4 La 3.69
Sb  0.5000  0.5000  0.0000  8 La 3.57, 4 K 3.69

# 8
VASP calculation (GGA-PBE) on an optimized crystal structure of KLa2Sb.

Magnetization   0.0 μB/cell
Space group   I4/mmm (139)
Energy relative to the elements, uncorrected   -0.23 eV per atom
D(E_F)   5.39 states/eV/cell

Cell: 6.1988 6.1988 6.1988 Å, 131.36 131.36 71.25°
Closest atoms and distances in Å follow each position.
Element x y z (fractional)
K  0.7500  0.2500  0.5000  8 La 3.59, 4 Sb 3.61
La  0.0000  0.0000  0.0000  4 Sb 3.59, 4 K 3.59, 4 La 3.61
La  0.5000  0.5000  0.0000  4 K 3.59, 4 Sb 3.59, 4 La 3.61
Sb  0.2500  0.7500  0.5000  8 La 3.59, 4 K 3.61

# 9
VASP calculation (GGA-PBE) on an optimized crystal structure of KLa2Sb.

Magnetization   0.0 μB/cell
Space group   C2/m (12)
Energy relative to the elements, uncorrected   -0.14 eV per atom
D(E_F)   3.97 states/eV/cell

Cell: 6.8560 6.8560 3.5976 Å, 76.67 76.67 116.54°
Closest atoms and distances in Å follow each position.
Element x y z (fractional)
K  0.0000  0.5000  0.5000  4 La 3.48, 2 K 3.60, 4 Sb 3.61-3.82
La  0.0000  0.0000  0.0000  2 Sb 3.48, 2 K 3.48, 6 La 3.60-3.82
La  0.5000  0.5000  0.0000  2 K 3.48, 2 Sb 3.48, 6 La 3.60-3.82
Sb  0.5000  0.0000  0.5000  4 La 3.48, 2 Sb 3.60, 4 K 3.61-3.82

# 10
VASP calculation (GGA-PBE) on an optimized crystal structure of KLa2Sb.

Magnetization   3.6 μB/cell
Space group   F-43m (216)
Energy relative to the elements, uncorrected   0.01 eV per atom
D(E_F)   4.76 states/eV/cell

Cell: 5.8177 5.8177 5.8177 Å, 60.00 60.00 60.00°
Closest atoms and distances in Å follow each position.
Element x y z (fractional)
K  0.5000  0.5000  0.5000  4 Sb 3.56, 4 La 3.56
La  0.0000  0.0000  0.0000  4 Sb 3.56, 4 La 3.56
La  0.2500  0.2500  0.2500  4 K 3.56, 4 La 3.56
Sb  0.7500  0.7500  0.7500  4 La 3.56, 4 K 3.56

# 11
VASP calculation (GGA-PBE) on an optimized crystal structure of KLa2Sb.

Magnetization   0.0 μB/cell
Space group   Immm (71)
Energy relative to the elements, uncorrected   -0.28 eV per atom
D(E_F)   4.12 states/eV/cell

Cell: 7.0122 7.0122 7.0122 Å, 144.48 129.45 63.30°
Closest atoms and distances in Å follow each position.
Element x y z (fractional)
K  0.2500  0.7500  0.5000  4 Sb 3.68, 4 La 3.86
La  0.9536  0.9536  0.0000  2 Sb 3.24
La  0.5464  0.5464  0.0000  2 Sb 3.24
Sb  0.7500  0.2500  0.5000  4 La 3.24

# 12
VASP calculation (GGA-PBE) on an optimized crystal structure of KLa2Sb.

Magnetization   3.5 μB/cell
Space group   I-42d (122)
Energy relative to the elements, uncorrected   -0.11 eV per atom
D(E_F)   14.09 states/eV/cell

Cell: 9.5276 9.5276 7.6106 Å, 51.25 51.25 90.00°
Closest atoms and distances in Å follow each position.
Element x y z (fractional)
Sb  0.0000  0.0000  0.0000  4 La 3.19, 2 K 3.54
Sb  0.7500  0.2500  0.5000  4 La 3.19, 2 K 3.54
K  0.5000  0.5000  0.0000  2 Sb 3.54, 4 La 3.81
K  0.2500  0.7500  0.5000  2 Sb 3.54, 4 La 3.81
La  0.6734  0.1250  0.2500  2 Sb 3.19
La  0.0766  0.6250  0.2500  2 Sb 3.19
La  0.3750  0.3266  0.7500  2 Sb 3.19
La  0.8750  0.9234  0.7500  2 Sb 3.19

# 13
VASP calculation (GGA-PBE) on an optimized crystal structure of KLaSb.

Magnetization   0.0 μB/cell
Space group   P3m1 (156)
Energy relative to the elements, uncorrected   -0.40 eV per atom
D(E_F)   1.79 states/eV/cell

Cell: 5.3974 5.3974 5.2630 Å, 90.00 90.00 120.00°
Closest atoms and distances in Å follow each position.
Element x y z (fractional)
K  0.0000  0.0000  0.9970  6 Sb 4.05-4.11, 6 La 4.08
La  0.6667  0.3333  0.4974  3 Sb 3.12
Sb  0.3333  0.6667  0.5056  3 La 3.12